1.
The following is a PBE with a Hubbard U calculation of crystalline Na2FeF6 at its relaxed geometry, from Alexandria via LeMat-Bulk.

Calculated values
D(E_F), states/eV per atom: 0.000
Electronic total energy, eV/atom: -4.47
Magnetization, μB/f.u.: 2.0
Space group: P2_1/c

a b c (Å): 5.568 5.757 9.382
angles (deg): 90.00 121.28 90.00
Fractional coordinates of all 18 atoms:
Na  0.196  0.071  0.232
Na  0.196  0.429  0.732
Na  0.804  0.571  0.268
Na  0.804  0.929  0.768
Fe  0.500  0.000  0.000
Fe  0.500  0.500  0.500
F  0.191  0.177  0.954
F  0.191  0.323  0.454
F  0.264  0.746  0.401
F  0.264  0.754  0.901
F  0.449  0.084  0.799
F  0.449  0.416  0.299
F  0.551  0.584  0.701
F  0.551  0.916  0.201
F  0.736  0.246  0.099
F  0.736  0.254  0.599
F  0.809  0.677  0.546
F  0.809  0.823  0.046

2.
The following is a PBE with a Hubbard U calculation of crystalline NaFeF4 at its relaxed geometry, from Alexandria via LeMat-Bulk.

Calculated values
D(E_F), states/eV per atom: 0.000
Electronic total energy, eV/atom: -5.02
Magnetization, μB/f.u.: 5.0
Space group: P2_1/c

a b c (Å): 8.012 5.404 7.632
angles (deg): 90.00 101.75 90.00
Fractional coordinates of all 24 atoms:
Na  0.136  0.220  0.387
Na  0.136  0.280  0.887
Na  0.864  0.720  0.113
Na  0.864  0.780  0.613
Fe  0.328  0.744  0.200
Fe  0.328  0.756  0.700
Fe  0.672  0.244  0.300
Fe  0.672  0.256  0.800
F  0.129  0.543  0.187
F  0.129  0.957  0.687
F  0.188  0.023  0.124
F  0.188  0.477  0.624
F  0.331  0.642  0.950
F  0.331  0.858  0.450
F  0.462  0.057  0.793
F  0.462  0.443  0.293
F  0.538  0.557  0.707
F  0.538  0.943  0.207
F  0.669  0.142  0.550
F  0.669  0.358  0.050
F  0.812  0.523  0.376
F  0.812  0.977  0.876
F  0.871  0.043  0.313
F  0.871  0.457  0.813

3.
The following is a PBE with a Hubbard U calculation of crystalline NaFe2F2 at its relaxed geometry, from Alexandria via LeMat-Bulk.

Calculated values
D(E_F), states/eV per atom: 0.327
Electronic total energy, eV/atom: -4.08
Magnetization, μB/f.u.: 7.8
Space group: P4/mbm

a b c (Å): 8.338 8.338 3.340
angles (deg): 90.00 90.00 90.00
Fractional coordinates of all 10 atoms:
Na  0.000  0.000  0.000
Na  0.500  0.500  0.000
Fe  0.110  0.390  0.000
Fe  0.390  0.890  0.000
Fe  0.610  0.110  0.000
Fe  0.890  0.610  0.000
F  0.207  0.293  0.500
F  0.293  0.793  0.500
F  0.707  0.207  0.500
F  0.793  0.707  0.500

4.
The following is a PBE with a Hubbard U calculation of crystalline NaFeF4 at its relaxed geometry, from Alexandria via LeMat-Bulk.

Calculated values
D(E_F), states/eV per atom: 0.000
Electronic total energy, eV/atom: -4.78
Magnetization, μB/f.u.: 3.0
Space group: P2_1/c

a b c (Å): 5.549 5.128 5.414
angles (deg): 90.00 100.09 90.00
Fractional coordinates of all 12 atoms:
Na  0.000  0.000  0.000
Na  0.000  0.500  0.500
Fe  0.500  0.000  0.500
Fe  0.500  0.500  0.000
F  0.194  0.142  0.390
F  0.194  0.358  0.890
F  0.374  0.697  0.251
F  0.374  0.803  0.751
F  0.626  0.197  0.249
F  0.626  0.303  0.749
F  0.806  0.642  0.110
F  0.806  0.858  0.610